(1)
## KBaSnHg (PBE)

Data for a relaxed KBaSnHg crystal.

Geometry as POSCAR:
```
KBaSnHg
1.0
8.3866 0.0000 0.0000
0.0000 8.3866 0.0000
0.0000 0.0000 8.3866
K Ba Sn Hg
4 4 4 4
Direct
0.0000 0.0000 0.0000 K
0.0000 0.5000 0.5000 K
0.5000 0.0000 0.5000 K
0.5000 0.5000 0.0000 K
0.0000 0.0000 0.5000 Ba
0.0000 0.5000 0.0000 Ba
0.5000 0.0000 0.0000 Ba
0.5000 0.5000 0.5000 Ba
0.2500 0.2500 0.2500 Sn
0.2500 0.7500 0.7500 Sn
0.7500 0.2500 0.7500 Sn
0.7500 0.7500 0.2500 Sn
0.2500 0.2500 0.7500 Hg
0.2500 0.7500 0.2500 Hg
0.7500 0.2500 0.2500 Hg
0.7500 0.7500 0.7500 Hg
```

Summary:
SG = F-43m
DOS(E_F) = 1.409 states/eV per atom
Formation energy = -0.346 eV/atom



(2)
## KBaSr2Hg (PBE)

Data for a relaxed KBaSr2Hg crystal.

Geometry as POSCAR:
```
KBaSr2Hg
1.0
6.5068 0.0000 0.0000
0.0000 6.5068 0.0000
0.0000 0.0000 6.6622
K Ba Sr Hg
1 1 2 1
Direct
0.0000 0.0000 0.0000 K
0.5000 0.5000 0.0000 Ba
0.0000 0.5000 0.5000 Sr
0.5000 0.0000 0.5000 Sr
0.5000 0.5000 0.5000 Hg
```

Summary:
SG = P4/mmm
DOS(E_F) = 0.922 states/eV per atom
Formation energy = -0.146 eV/atom



(3)
## KBaSr2Hg (PBE)

Data for a relaxed KBaSr2Hg crystal.

Geometry as POSCAR:
```
KBaSr2Hg
1.0
6.4116 0.0000 0.0000
0.0000 6.4116 0.0000
0.0000 0.0000 6.7338
K Ba Sr Hg
1 1 2 1
Direct
0.0000 0.0000 0.0000 K
0.5000 0.5000 0.0000 Ba
0.0000 0.5000 0.5000 Sr
0.5000 0.0000 0.5000 Sr
0.0000 0.0000 0.5000 Hg
```

Summary:
SG = P4/mmm
DOS(E_F) = 0.980 states/eV per atom
Formation energy = -0.076 eV/atom



(4)
## KBaTl2Hg2 (PBE)

Data for a relaxed KBaTl2Hg2 crystal.

Geometry as POSCAR:
```
KBaTl2Hg2
1.0
5.4099 0.0000 0.0000
-2.7049 4.6851 0.0000
0.0000 0.0000 8.1820
K Ba Tl Hg
1 1 2 2
Direct
0.0000 0.0000 0.0000 K
0.0000 0.0000 0.5000 Ba
0.3333 0.6667 0.2740 Tl
0.6667 0.3333 0.7260 Tl
0.3333 0.6667 0.7233 Hg
0.6667 0.3333 0.2767 Hg
```

Summary:
SG = P-3m1
DOS(E_F) = 0.873 states/eV per atom
Formation energy = -0.291 eV/atom